1.
This record from Alexandria via LeMat-Bulk describes crystalline YHf3Be at its relaxed geometry. The functional is GGA-PBE.

Unit cell a=5.1286 b=5.1286 c=5.1286 alpha=90.00 beta=90.00 gamma=90.00
Last column: nearest neighbours and their distance in Å.
Space group Pm-3m (No. 221)
Asymmetric unit:
Y 0.0000 0.0000 0.0000 (multiplicity 1)  6 Hf 2.56
Hf 0.0000 0.0000 0.5000 (multiplicity 3)  2 Y 2.56
Be 0.5000 0.5000 0.5000 (multiplicity 1)  12 Hf 3.63

Output
- DOS(E_F) (states/eV per atom) = 1.344
- total moment (μB/f.u.) = 0.0
- distance to the lowest polymorph of the same formula (meV/atom) = 1643

***

2.
This record from Alexandria via LeMat-Bulk describes crystalline Tl2Zn2Au at its relaxed geometry. The functional is GGA-PBE.

Unit cell a=8.0881 b=8.0881 c=3.6031 alpha=90.00 beta=90.00 gamma=90.00
Last column: nearest neighbours and their distance in Å.
Space group P4/mbm (No. 127)
Asymmetric unit:
Tl 0.1865 0.3135 0.0000 (multiplicity 4)  6 Zn 2.90-3.08, 2 Au 2.95
Zn 0.1146 0.6146 0.5000 (multiplicity 4)  1 Zn 2.62, 2 Tl 2.90
Au 0.0000 0.0000 0.0000 (multiplicity 2)  4 Tl 2.95

Output
- DOS(E_F) (states/eV per atom) = 0.266
- total moment (μB/f.u.) = 0.0
- distance to the lowest polymorph of the same formula (meV/atom) = 200

***

3.
This record from Alexandria via LeMat-Bulk describes crystalline MnCr2Ir at its relaxed geometry. The functional is GGA-PBE.

Unit cell a=8.6487 b=2.6159 c=4.4675 alpha=90.00 beta=99.89 gamma=90.00
Last column: nearest neighbours and their distance in Å.
Space group C2/m (No. 12)
Asymmetric unit:
Mn 0.0000 0.0000 0.0000 (multiplicity 2)  6 Cr 2.58-2.61, 4 Ir 2.59, 2 Mn 2.62
Cr 0.2493 0.0000 0.7560 (multiplicity 4)  6 Cr 2.54-2.64, 3 Mn 2.58-2.61, 3 Ir 2.61-2.62
Ir 0.0000 0.5000 0.5000 (multiplicity 2)  4 Mn 2.59, 6 Cr 2.61-2.62, 2 Ir 2.62

Output
- DFT total energy (eV per cell) = -74.33
- DOS(E_F) (states/eV per atom) = 1.115
- total moment (μB/f.u.) = 0.8

***

4.
This record from Alexandria via LeMat-Bulk describes crystalline TbY2Cu3 at its relaxed geometry. The functional is GGA-PBE.

Unit cell a=3.4774 b=3.4774 c=10.4710 alpha=90.00 beta=90.00 gamma=90.00
Last column: nearest neighbours and their distance in Å.
Space group P4/mmm (No. 123)
Asymmetric unit:
Tb 0.0000 0.0000 0.0000 (multiplicity 1)  8 Cu 3.01
Y 0.0000 0.0000 0.3334 (multiplicity 2)  8 Cu 3.01-3.02
Cu 0.5000 0.5000 0.1663 (multiplicity 2)  4 Tb 3.01, 4 Y 3.02
Cu 0.5000 0.5000 0.5000 (multiplicity 1)  8 Y 3.01

Output
- DFT total energy (eV per cell) = -31.31
- DOS(E_F) (states/eV per atom) = 0.470
- total moment (μB/f.u.) = 0.0

***

5.
This record from Alexandria via LeMat-Bulk describes crystalline Nd8DyY4 at its relaxed geometry. The functional is GGA-PBE.

Unit cell a=11.2727 b=11.2727 c=13.5440 alpha=90.00 beta=90.00 gamma=120.00
Last column: nearest neighbours and their distance in Å.
Space group R-3m (No. 166, hexagonal axes)
Asymmetric unit:
Nd 0.0000 0.0000 0.2396 (multiplicity 6)  4 Y 3.24-3.49, 1 Dy 3.53
Nd 0.0100 0.5050 0.7435 (multiplicity 18)  4 Y 3.32-3.48, 1 Dy 3.57
Dy 0.0000 0.0000 0.5000 (multiplicity 3)  8 Nd 3.53-3.57
Y 0.0000 0.0000 0.0000 (multiplicity 3)  8 Nd 3.24-3.32
Y 0.0000 0.5000 0.0000 (multiplicity 9)  8 Nd 3.46-3.49

Output
- DFT total energy (eV per cell) = -187.06
- DOS(E_F) (states/eV per atom) = 1.719
- total moment (μB/f.u.) = 0.0

***

6.
This record from Alexandria via LeMat-Bulk describes crystalline NbPOs2 at its relaxed geometry. The functional is GGA-PBE.

Unit cell a=5.5243 b=5.5243 c=10.9676 alpha=90.00 beta=90.00 gamma=90.00
Last column: nearest neighbours and their distance in Å.
Space group I-42d (No. 122)
Asymmetric unit:
Nb 0.0000 0.0000 0.0000 (multiplicity 4)  4 Os 2.53
P 0.0000 0.0000 0.5000 (multiplicity 4)  4 Os 2.26
Os 0.2065 0.2500 0.6250 (multiplicity 8)  2 P 2.26

Output
- DFT total energy (eV per cell) = -142.72
- DOS(E_F) (states/eV per atom) = 0.446
- total moment (μB/f.u.) = 0.0

***

7.
This record from Alexandria via LeMat-Bulk describes crystalline La6CeSm2Sc at its relaxed geometry. The functional is GGA-PBE.

Unit cell a=11.6125 b=7.1195 c=8.8553 alpha=90.00 beta=107.07 gamma=90.00
Last column: nearest neighbours and their distance in Å.
Space group C2/m (No. 12)
Asymmetric unit:
La 0.1292 0.0000 0.4102 (multiplicity 4)  1 Ce 3.50, 7 La 3.74-3.85
La 0.1661 0.2641 0.7871 (multiplicity 8)  1 Sc 3.18, 1 Sm 3.28, 1 La 3.36
Ce 0.0000 0.0000 0.0000 (multiplicity 2)  6 La 3.50-3.60
Sm 0.0964 0.5000 0.1790 (multiplicity 4)  4 La 3.28-3.57, 1 Sm 3.30, 1 Sc 3.35
Sc 0.0000 0.5000 0.5000 (multiplicity 2)  4 La 3.18, 2 Sm 3.35

Output
- DFT total energy (eV per cell) = -98.42
- DOS(E_F) (states/eV per atom) = 2.256
- total moment (μB/f.u.) = 1.0

***

8.
This record from Alexandria via LeMat-Bulk describes crystalline Cd9InAg2 at its relaxed geometry. The functional is GGA-PBE.

Unit cell a=4.4050 b=4.4050 c=13.4207 alpha=90.00 beta=90.00 gamma=90.00
Last column: nearest neighbours and their distance in Å.
Space group P4/mmm (No. 123)
Asymmetric unit:
Cd 0.0000 0.0000 0.0000 (multiplicity 1)  4 In 3.11, 8 Cd 3.24
Cd 0.0000 0.0000 0.3396 (multiplicity 2)  8 Cd 3.08-3.10, 4 Ag 3.11
Cd 0.0000 0.5000 0.1774 (multiplicity 4)  2 Ag 3.09, 8 Cd 3.10-3.24, 2 In 3.24
Cd 0.0000 0.5000 0.5000 (multiplicity 2)  8 Cd 3.08-3.11, 4 Ag 3.09
In 0.5000 0.5000 0.0000 (multiplicity 1)  12 Cd 3.11-3.24
Ag 0.5000 0.5000 0.3389 (multiplicity 2)  12 Cd 3.09-3.11

Output
- DFT total energy (eV per cell) = -16.48
- DOS(E_F) (states/eV per atom) = 0.421
- total moment (μB/f.u.) = 0.0